# 1
Entry from Alexandria: a relaxed MnBeCo crystal (PBE).

abc: 2.464 5.779 4.395
angles: 75.95 106.20 102.27
Sites, in units of the cell vectors:
Be 0.591 0.482 0.303
Be 0.856 0.787 0.528
Mn 0.585 0.108 0.665
Mn 0.862 0.162 0.166
Co 0.130 0.805 0.058
Co 0.317 0.465 0.773

E_form: -1.3 kcal/mol of atoms
ρ: 7087 kg/m3



# 2
Entry from Alexandria: a relaxed BaTe2RhN crystal (PBE).

abc: 6.481 6.481 4.327
angles: 90.00 90.00 90.00
Sites, in units of the cell vectors:
Ba 0.000 0.000 0.000
Rh 0.500 0.500 0.500
Te 0.000 0.500 0.000
Te 0.500 0.000 0.000
N 0.000 0.000 0.500

ΔE_f (raw): 151.1 kJ/mol of atoms
ρ: 4653 kg/m3



Question: Which value of ρ does entry 2 give?
Answer: 4653 kg/m3



Question: What is the ρ in the second record?
Answer: 4653 kg/m3



Question: What is the formula in the second record?
Answer: BaTe2RhN